Density functional theory data (PBE) for a relaxed CaHgBi2 crystal.

Calculated values
VASP energy: -2.817 eV/atom

a b c (Å): 5.4267 5.4267 5.8011
angles (deg): 62.11 62.11 60.00
Element x y z (fractional)
1 Bi 0.2582 0.2582 0.2255
2 Ca 0.7544 0.7544 0.7368
3 Hg 0.5046 0.5046 0.4863
4 Bi 0.9828 0.9828 0.0515